# 1
AlCrMo2: optimized geometry, PBE.

Calculated total energy, eV/f.u.: -35.10
Fermi-level density of states, states/eV/atom: 0.81
Total magnetization, μB/f.u.: 0.2
Space-group type: P2/m, No. 10

Lattice parameters (Å, degrees): 2.683 4.223 5.276 90.00 102.82 90.00
Element x y z (fractional)
Al 0.000 0.000 0.000
Cr 0.500 0.000 0.500
Mo 0.283 0.500 0.747
Mo 0.717 0.500 0.253

# 2
Al2CrMo: optimized geometry, PBE.

Distance to the lowest polymorph of the same formula, meV per atom: 290
Fermi-level density of states, states/eV/atom: 0.66
Total magnetization, μB/f.u.: 1.5
Space-group type: R3m, No. 160

Lattice parameters (Å, degrees): 8.981 8.981 8.981 17.93 17.93 17.93
Element x y z (fractional)
Al 0.000 0.000 0.000
Al 0.245 0.245 0.245
Cr 0.499 0.499 0.499
Mo 0.752 0.752 0.752

# 3
AlCrMo2: optimized geometry, PBE.

Calculated total energy, eV/f.u.: -34.69
Fermi-level density of states, states/eV/atom: 0.74
Total magnetization, μB/f.u.: 1.2
Space-group type: Pmmm, No. 47

Lattice parameters (Å, degrees): 2.668 4.183 5.280 90.00 90.00 90.00
Element x y z (fractional)
Al 0.000 0.000 0.000
Cr 0.000 0.000 0.500
Mo 0.500 0.500 0.251
Mo 0.500 0.500 0.749

# 4
AlCrMo2: optimized geometry, PBE.

Calculated total energy, eV/f.u.: -34.36
Fermi-level density of states, states/eV/atom: 0.83
Total magnetization, μB/f.u.: 1.7
Space-group type: P4mm, No. 99

Lattice parameters (Å, degrees): 2.720 2.720 8.015 90.00 90.00 90.00
Element x y z (fractional)
Al 0.000 0.000 0.000
Cr 0.500 0.500 0.224
Mo 0.000 0.000 0.463
Mo 0.500 0.500 0.745

# 5
AlCrMo2: optimized geometry, PBE.

Calculated total energy, eV/f.u.: -35.06
Fermi-level density of states, states/eV/atom: 0.60
Total magnetization, μB/f.u.: 0.0
Space-group type: Cmmm, No. 65

Lattice parameters (Å, degrees): 2.697 2.697 8.520 90.00 90.00 109.14
Element x y z (fractional)
Al 0.000 0.000 0.000
Cr 0.000 0.000 0.500
Mo 0.500 0.500 0.259
Mo 0.500 0.500 0.741

# 6
Al2CrMo2: optimized geometry, PBE.

Calculated total energy, eV/f.u.: -38.56
Fermi-level density of states, states/eV/atom: 1.09
Total magnetization, μB/f.u.: 2.2
Space-group type: P4/mbm, No. 127

Lattice parameters (Å, degrees): 6.638 6.638 3.434 90.00 90.00 90.00
Element x y z (fractional)
Al 0.131 0.369 0.000
Al 0.369 0.869 0.000
Al 0.631 0.131 0.000
Al 0.869 0.631 0.000
Cr 0.000 0.000 0.000
Cr 0.500 0.500 0.000
Mo 0.171 0.671 0.500
Mo 0.329 0.171 0.500
Mo 0.671 0.829 0.500
Mo 0.829 0.329 0.500

# 7
Al2CrMo: optimized geometry, PBE.

Distance to the lowest polymorph of the same formula, meV per atom: 107
Fermi-level density of states, states/eV/atom: 0.66
Total magnetization, μB/f.u.: 0.0
Space-group type: Cmmm, No. 65

Lattice parameters (Å, degrees): 2.664 2.664 8.267 90.00 90.00 103.79
Element x y z (fractional)
Al 0.000 0.000 0.237
Al 0.000 0.000 0.763
Cr 0.500 0.500 0.000
Mo 0.500 0.500 0.500

# 8
AlCrMo2: optimized geometry, PBE.

Calculated total energy, eV/f.u.: -35.07
Fermi-level density of states, states/eV/atom: 0.70
Total magnetization, μB/f.u.: 2.3
Space-group type: P4mm, No. 99

Lattice parameters (Å, degrees): 3.145 3.145 6.047 90.00 90.00 90.00
Element x y z (fractional)
Al 0.000 0.000 0.000
Cr 0.500 0.500 0.251
Mo 0.000 0.000 0.490
Mo 0.500 0.500 0.740

# 9
AlCrMo2: optimized geometry, PBE.

Calculated total energy, eV/f.u.: -33.95
Fermi-level density of states, states/eV/atom: 1.27
Total magnetization, μB/f.u.: 1.6
Space-group type: R3m, No. 160

Lattice parameters (Å, degrees): 9.205 9.205 9.205 17.28 17.28 17.28
Element x y z (fractional)
Al 0.000 0.000 0.000
Cr 0.745 0.745 0.745
Mo 0.248 0.248 0.248
Mo 0.492 0.492 0.492

# 10
AlCrMo2: optimized geometry, PBE.

Calculated total energy, eV/f.u.: -34.15
Fermi-level density of states, states/eV/atom: 1.21
Total magnetization, μB/f.u.: 0.3
Space-group type: R-3m, No. 166

Lattice parameters (Å, degrees): 8.685 8.685 8.685 18.85 18.85 18.85
Element x y z (fractional)
Al 0.000 0.000 0.000
Cr 0.500 0.500 0.500
Mo 0.245 0.245 0.245
Mo 0.755 0.755 0.755

# 11
Al2CrMo: optimized geometry, PBE.

Distance to the lowest polymorph of the same formula, meV per atom: 190
Fermi-level density of states, states/eV/atom: 1.15
Total magnetization, μB/f.u.: 3.1
Space-group type: Fm-3m, No. 225

Lattice parameters (Å, degrees): 4.368 4.368 4.368 60.00 60.00 60.00
Element x y z (fractional)
Al 0.250 0.250 0.250
Al 0.750 0.750 0.750
Cr 0.000 0.000 0.000
Mo 0.500 0.500 0.500

# 12
AlCrMo: optimized geometry, PBE.

Distance to the lowest polymorph of the same formula, meV per atom: 636
Fermi-level density of states, states/eV/atom: 1.27
Total magnetization, μB/f.u.: 0.8
Space-group type: F-43m, No. 216

Lattice parameters (Å, degrees): 4.130 4.130 4.130 60.00 60.00 60.00
Element x y z (fractional)
Al 0.000 0.000 0.000
Cr 0.250 0.250 0.250
Mo 0.500 0.500 0.500

# 13
AlCr3Mo: optimized geometry, PBE.

Distance to the lowest polymorph of the same formula, meV per atom: 135
Fermi-level density of states, states/eV/atom: 1.28
Total magnetization, μB/f.u.: 4.7
Space-group type: Pm-3m, No. 221

Lattice parameters (Å, degrees): 4.338 4.338 4.338 90.00 90.00 90.00
Element x y z (fractional)
Al 0.000 0.000 0.000
Cr 0.000 0.000 0.500
Cr 0.000 0.500 0.000
Cr 0.500 0.000 0.000
Mo 0.500 0.500 0.500

# 14
Al2CrMo: optimized geometry, PBE.

Distance to the lowest polymorph of the same formula, meV per atom: 80
Fermi-level density of states, states/eV/atom: 0.61
Total magnetization, μB/f.u.: 0.0
Space-group type: Pm, No. 6

Lattice parameters (Å, degrees): 2.696 4.343 4.915 90.00 96.86 90.00
Element x y z (fractional)
Al 0.000 0.000 0.000
Al 0.115 0.500 0.717
Cr 0.656 0.500 0.224
Mo 0.499 0.000 0.485

# 15
AlCrMo2: optimized geometry, PBE.

Calculated total energy, eV/f.u.: -34.49
Fermi-level density of states, states/eV/atom: 1.03
Total magnetization, μB/f.u.: 0.9
Space-group type: Cmmm, No. 65

Lattice parameters (Å, degrees): 4.954 4.954 2.670 90.00 90.00 115.77
Element x y z (fractional)
Al 0.000 0.000 0.000
Cr 0.500 0.500 0.000
Mo 0.000 0.500 0.500
Mo 0.500 0.000 0.500

# 16
AlCrMo2: optimized geometry, PBE.

Calculated total energy, eV/f.u.: -35.07
Fermi-level density of states, states/eV/atom: 0.86
Total magnetization, μB/f.u.: 0.0
Space-group type: Pm, No. 6

Lattice parameters (Å, degrees): 2.675 4.323 5.131 90.00 100.70 90.00
Element x y z (fractional)
Al 0.000 0.000 0.000
Cr 0.762 0.500 0.242
Mo 0.337 0.500 0.757
Mo 0.555 0.000 0.485

# 17
AlCrMo2: optimized geometry, PBE.

Calculated total energy, eV/f.u.: -35.01
Fermi-level density of states, states/eV/atom: 0.93
Total magnetization, μB/f.u.: 2.0
Space-group type: Pmmm, No. 47

Lattice parameters (Å, degrees): 3.213 4.292 4.301 90.00 90.00 90.00
Element x y z (fractional)
Al 0.000 0.000 0.000
Cr 0.500 0.500 0.000
Mo 0.000 0.500 0.500
Mo 0.500 0.000 0.500

# 18
AlCrMo2: optimized geometry, PBE.

Calculated total energy, eV/f.u.: -34.77
Fermi-level density of states, states/eV/atom: 0.91
Total magnetization, μB/f.u.: 2.0
Space-group type: I4/mmm, No. 139

Lattice parameters (Å, degrees): 5.042 5.042 5.042 136.63 136.63 63.00
Element x y z (fractional)
Al 0.000 0.000 0.000
Cr 0.500 0.500 0.000
Mo 0.250 0.750 0.500
Mo 0.750 0.250 0.500

# 19
AlCr4Mo: optimized geometry, PBE.

Calculated total energy, eV/f.u.: -53.47
Fermi-level density of states, states/eV/atom: 0.67
Total magnetization, μB/f.u.: 0.0
Space-group type: F-43m, No. 216

Lattice parameters (Å, degrees): 4.786 4.786 4.786 60.00 60.00 60.00
Element x y z (fractional)
Al 0.000 0.000 0.000
Cr 0.124 0.625 0.625
Cr 0.625 0.124 0.625
Cr 0.625 0.625 0.124
Cr 0.625 0.625 0.625
Mo 0.250 0.250 0.250

# 20
AlCrMo: optimized geometry, PBE.

Distance to the lowest polymorph of the same formula, meV per atom: 130
Fermi-level density of states, states/eV/atom: 0.69
Total magnetization, μB/f.u.: 0.0
Space-group type: Fmm2, No. 42

Lattice parameters (Å, degrees): 6.668 6.482 2.686 82.14 74.34 23.52
Element x y z (fractional)
Al 0.000 0.000 0.000
Cr 0.338 0.338 0.662
Mo 0.677 0.677 0.323